Entry 1:
# Mn3VP4 (SCAN, single point on PBEsol structure)
data_Mn3VP4
_space_group_name_H-M_alt 'P 1 m 1'
_space_group_IT_number 6
_cell_length_a 5.2356
_cell_length_b 3.0148
_cell_length_c 5.9023
_cell_angle_alpha 90.00
_cell_angle_beta 90.15
_cell_angle_gamma 90.00
loop_
_space_group_symop_operation_xyz
'x,y,z'
'x,-y,z'
loop_
_atom_site_label
_atom_site_type_symbol
_atom_site_fract_x
_atom_site_fract_y
_atom_site_fract_z
Mn1 Mn 0.0000 0.0000 0.0000
Mn2 Mn 0.0146 0.5000 0.6054
Mn3 Mn 0.5114 0.5000 0.4858
V1 V 0.4972 0.0000 0.1038
P1 P 0.1811 0.5000 0.2422
P2 P 0.3182 0.0000 0.7288
P3 P 0.6948 0.5000 0.8538
P4 P 0.8202 0.0000 0.3729
# - E_form (eV per atom) = -0.650
# - Fermi-level density of states (states/eV/cell) = 4.48
# - E_tot (eV per atom) = -14.8810
# - total moment (Bohr magnetons per cell) = 3.2

---

Entry 2:
# MnP4W (SCAN, single point on PBEsol structure)
data_MnP4W
_space_group_name_H-M_alt 'F -4 3 m'
_space_group_IT_number 216
_space_group_name_Hall 'F -4 2 3'
_cell_length_a 6.8406
_cell_length_b 6.8406
_cell_length_c 6.8406
_cell_angle_alpha 90.00
_cell_angle_beta 90.00
_cell_angle_gamma 90.00
loop_
_atom_site_label
_atom_site_type_symbol
_atom_site_fract_x
_atom_site_fract_y
_atom_site_fract_z
Mn1 Mn 0.0000 0.0000 0.0000
P1 P 0.1246 0.1246 0.3754
W1 W 0.2500 0.2500 0.7500
# - E_form (eV per atom) = 0.843
# - Fermi-level density of states (states/eV/cell) = 9.95
# - E_tot (eV per atom) = -20.7468
# - total moment (Bohr magnetons per cell) = 12.2

---

Entry 3:
# MnPW2 (SCAN, single point on PBEsol structure)
data_MnPW2
_space_group_name_H-M_alt 'P 1 2/m 1'
_space_group_IT_number 10
_cell_length_a 2.8646
_cell_length_b 3.3232
_cell_length_c 5.7606
_cell_angle_alpha 90.00
_cell_angle_beta 99.18
_cell_angle_gamma 90.00
loop_
_space_group_symop_operation_xyz
'x,y,z'
'-x,-y,-z'
'-x,y,-z'
'x,-y,z'
loop_
_atom_site_label
_atom_site_type_symbol
_atom_site_fract_x
_atom_site_fract_y
_atom_site_fract_z
Mn1 Mn 0.0000 0.0000 0.0000
P1 P 0.0000 0.0000 0.5000
W1 W 0.4287 0.5000 0.7440
# - E_form (eV per atom) = 0.147
# - Fermi-level density of states (states/eV/cell) = 2.28
# - E_tot (eV per atom) = -41.8606
# - total moment (Bohr magnetons per cell) = 2.0

---

Entry 4:
# MnPW2 (SCAN, single point on PBEsol structure)
data_MnPW2
_space_group_name_H-M_alt 'P 4 m m'
_space_group_IT_number 99
_cell_length_a 2.7647
_cell_length_b 2.7647
_cell_length_c 6.8680
_cell_angle_alpha 90.00
_cell_angle_beta 90.00
_cell_angle_gamma 90.00
loop_
_space_group_symop_operation_xyz
'x,y,z'
'-y,x,z'
'-x,-y,z'
'y,-x,z'
'-x,y,z'
'y,x,z'
'x,-y,z'
'-y,-x,z'
loop_
_atom_site_label
_atom_site_type_symbol
_atom_site_fract_x
_atom_site_fract_y
_atom_site_fract_z
Mn1 Mn 0.0000 0.0000 0.0000
P1 P 0.5000 0.5000 0.8370
W1 W 0.0000 0.0000 0.5763
W2 W 0.5000 0.5000 0.2649
# - E_form (eV per atom) = 0.068
# - Fermi-level density of states (states/eV/cell) = 1.71
# - E_tot (eV per atom) = -41.9391
# - total moment (Bohr magnetons per cell) = 0.0